No. 1
Entry from Alexandria: a geometry-optimized PuSiTcC structure (PBE-GGA).

a b c (Å): 3.772 3.772 8.819
angles (deg): 90.00 90.00 90.00
Last column: magnetic moment on the atom in μB.
Sites, in units of the cell vectors:
Pu1 0.000 0.500 0.852  4.70
Pu2 0.500 0.000 0.148  4.70
Si1 0.000 0.500 0.320  -0.01
Si2 0.500 0.000 0.680  -0.01
Tc1 0.000 0.000 0.500  -0.06
Tc2 0.500 0.500 0.500  -0.06
C1 0.500 0.000 0.887  -0.17
C2 0.000 0.500 0.113  -0.17

Calculated values
The calculated density comes out at 10.1 Mg/m³. The value obtained for the density of states at the Fermi level is 2.242 states/eV per atom. Its total energy is -80.25 eV for the cell shown.

---

No. 2
Entry from Alexandria: a geometry-optimized Sm3Er3MgTe8 structure (PBE-GGA).

a b c (Å): 8.705 8.705 8.773
angles (deg): 119.74 90.00 120.00
Sites, in units of the cell vectors:
Sm1 0.000 0.000 0.000
Sm2 0.000 0.500 0.000
Sm3 0.500 0.500 0.000
Er1 0.500 0.000 0.500
Er2 0.500 0.500 0.500
Er3 0.000 0.500 0.500
Mg1 0.000 0.000 0.500
Te1 0.253 0.507 0.260
Te2 0.747 0.493 0.740
Te3 0.754 0.509 0.261
Te4 0.246 0.491 0.739
Te5 0.754 0.007 0.261
Te6 0.246 0.993 0.739
Te7 0.252 0.007 0.261
Te8 0.748 0.993 0.739

Calculated values
The calculated density comes out at 7.0 Mg/m³. The value obtained for the density of states at the Fermi level is 0.287 states/eV per atom. Its total energy is -73.93 eV for the cell shown.

---

No. 3
Entry from Alexandria: a geometry-optimized LiPr2AlSe5 structure (PBE-GGA).

a b c (Å): 4.056 9.196 11.939
angles (deg): 90.00 90.00 102.74
Sites, in units of the cell vectors:
Li1 0.786 0.572 0.520
Li2 0.214 0.428 0.020
Pr1 0.869 0.738 0.805
Pr2 0.121 0.243 0.683
Pr3 0.131 0.262 0.305
Pr4 0.879 0.757 0.183
Al1 0.572 0.144 0.955
Al2 0.428 0.856 0.455
Se1 0.357 0.714 0.999
Se2 0.687 0.374 0.853
Se3 0.502 0.004 0.782
Se4 0.293 0.586 0.666
Se5 0.956 0.911 0.562
Se6 0.643 0.286 0.499
Se7 0.313 0.626 0.353
Se8 0.498 0.996 0.282
Se9 0.707 0.414 0.166
Se10 0.044 0.089 0.062

Calculated values
The calculated density comes out at 5.4 Mg/m³. Its total energy is -92.50 eV for the cell shown.

---

No. 4
Entry from Alexandria: a geometry-optimized FeNiAg2 structure (PBE-GGA).

a b c (Å): 2.823 2.823 7.438
angles (deg): 90.00 90.00 90.00
Last column: magnetic moment on the atom in μB.
Sites, in units of the cell vectors:
Ag1 0.000 0.000 0.975  -0.01
Ag2 0.500 0.500 0.270  0.02
Fe1 0.000 0.000 0.536  2.88
Ni1 0.500 0.500 0.720  0.69

Calculated values
The calculated density comes out at 9.3 Mg/m³. For the relative energy among the computed polymorphs, the calculation gives 0.0 kJ/mol of atoms. The value obtained for the density of states at the Fermi level is 0.778 states/eV per atom. As for the formation energy: 16.9 kJ per mole of atoms.

---

No. 5
Entry from Alexandria: a geometry-optimized InTe2Cl structure (PBE-GGA).

a b c (Å): 8.002 8.002 8.002
angles (deg): 148.96 148.96 44.46
Sites, in units of the cell vectors:
Cl1 0.250 0.750 0.500
Te1 0.000 0.000 0.000
Te2 0.500 0.500 0.000
In1 0.750 0.250 0.500

Calculated values
The calculated density comes out at 5.0 Mg/m³. For the relative energy among the computed polymorphs, the calculation gives 8.8 kJ/mol of atoms. The value obtained for the density of states at the Fermi level is 0.611 states/eV per atom.

---

No. 6
Entry from Alexandria: a geometry-optimized MnFe2Co structure (PBE-GGA).

a b c (Å): 4.716 4.716 4.716
angles (deg): 145.21 129.42 62.85
Last column: magnetic moment on the atom in μB.
Sites, in units of the cell vectors:
Co1 0.249 0.749 0.500  1.62
Fe1 0.001 0.001 0.000  2.22
Fe2 0.751 0.251 0.500  2.42
Mn1 0.499 0.499 0.000  2.10

Calculated values
The calculated density comes out at 8.2 Mg/m³. The value obtained for the density of states at the Fermi level is 0.965 states/eV per atom. As for the formation energy: 6.1 kJ per mole of atoms.

---

No. 7
Entry from Alexandria: a geometry-optimized NbCr5 structure (PBE-GGA).

a b c (Å): 2.947 4.194 6.588
angles (deg): 108.56 90.00 90.00
Last column: magnetic moment on the atom in μB.
Sites, in units of the cell vectors:
Cr1 0.000 0.670 0.341  -0.93
Cr2 0.000 0.330 0.659  -0.93
Cr3 0.500 0.500 0.000  0.69
Cr4 0.500 0.175 0.349  0.86
Cr5 0.500 0.825 0.651  0.86
Nb1 0.000 0.000 0.000  -0.21

Calculated values
The calculated density comes out at 7.6 Mg/m³. The value obtained for the density of states at the Fermi level is 0.686 states/eV per atom. As for the formation energy: 6.5 kJ per mole of atoms.

---

No. 8
Entry from Alexandria: a geometry-optimized HoCuOs structure (PBE-GGA).

a b c (Å): 4.748 5.399 4.666
angles (deg): 90.00 120.58 90.00
Sites, in units of the cell vectors:
Ho1 0.338 0.750 0.677
Ho2 0.662 0.250 0.323
Cu1 0.322 0.250 0.643
Cu2 0.678 0.750 0.357
Os1 0.000 0.000 0.000
Os2 0.000 0.500 0.000

Calculated values
The calculated density comes out at 13.5 Mg/m³. For the relative energy among the computed polymorphs, the calculation gives 20.7 kJ/mol of atoms. The value obtained for the density of states at the Fermi level is 0.375 states/eV per atom. As for the formation energy: -6.3 kJ per mole of atoms.

---

No. 9
Entry from Alexandria: a geometry-optimized NaH3S structure (PBE-GGA).

a b c (Å): 4.013 4.053 10.933
angles (deg): 90.00 90.00 90.00
Sites, in units of the cell vectors:
Na1 0.000 0.802 0.179
Na2 0.000 0.302 0.821
H1 0.500 0.710 0.383
H2 0.500 0.210 0.617
H3 0.500 0.826 0.437
H4 0.500 0.363 0.047
H5 0.500 0.326 0.563
H6 0.500 0.863 0.953
S1 0.500 0.799 0.831
S2 0.500 0.299 0.169

Calculated values
The calculated density comes out at 1.1 Mg/m³. For the relative energy among the computed polymorphs, the calculation gives 0.0 kJ/mol of atoms. The value obtained for the density of states at the Fermi level is 0.000 states/eV per atom.

---

No. 10
Entry from Alexandria: a geometry-optimized RbSr2Ir structure (PBE-GGA).

a b c (Å): 5.632 5.632 5.632
angles (deg): 60.00 60.00 60.00
Sites, in units of the cell vectors:
Sr1 0.250 0.250 0.250
Sr2 0.750 0.750 0.750
Ir1 0.500 0.500 0.500
Rb1 0.000 0.000 0.000

Calculated values
The calculated density comes out at 6.0 Mg/m³. For the relative energy among the computed polymorphs, the calculation gives 25.1 kJ/mol of atoms. The value obtained for the density of states at the Fermi level is 0.380 states/eV per atom. As for the formation energy: 30.1 kJ per mole of atoms.

---

No. 11
Entry from Alexandria: a geometry-optimized ScAgSnPd structure (PBE-GGA).

a b c (Å): 4.731 4.731 4.731
angles (deg): 60.00 60.00 60.00
Sites, in units of the cell vectors:
Sc1 0.750 0.750 0.750
Pd1 0.000 0.000 0.000
Sn1 0.250 0.250 0.250
Ag1 0.500 0.500 0.500

Calculated values
The calculated density comes out at 8.4 Mg/m³. The value obtained for the density of states at the Fermi level is 0.559 states/eV per atom. As for the formation energy: -56.4 kJ per mole of atoms.

---

No. 12
Entry from Alexandria: a geometry-optimized Co2NiPd7 structure (PBE-GGA).

a b c (Å): 4.049 7.160 7.160
angles (deg): 119.51 90.00 90.00
Last column: magnetic moment on the atom in μB.
Sites, in units of the cell vectors:
Co1 0.500 0.696 0.304  2.09
Co2 0.500 0.304 0.696  2.09
Ni1 0.000 0.000 0.000  0.94
Pd1 0.000 0.794 0.206  0.46
Pd2 0.000 0.206 0.794  0.46
Pd3 0.500 0.076 0.300  0.32
Pd4 0.500 0.924 0.700  0.32
Pd5 0.500 0.300 0.076  0.32
Pd6 0.500 0.700 0.924  0.32
Pd7 0.500 0.500 0.500  0.31

Calculated values
The calculated density comes out at 8.5 Mg/m³. The value obtained for the density of states at the Fermi level is 1.377 states/eV per atom. As for the formation energy: 55.1 kJ per mole of atoms.

---

No. 13
Entry from Alexandria: a geometry-optimized Ag3Cl2O structure (PBE-GGA).

a b c (Å): 7.328 6.322 6.445
angles (deg): 90.63 124.65 90.00
Sites, in units of the cell vectors:
Ag1 0.371 0.250 0.000
Ag2 0.629 0.750 0.000
Ag3 0.151 0.001 0.300
Ag4 0.852 0.499 0.700
Ag5 0.148 0.501 0.300
Ag6 0.849 0.999 0.700
Cl1 0.554 0.746 0.352
Cl2 0.798 0.246 0.352
Cl3 0.202 0.754 0.648
Cl4 0.446 0.254 0.648
O1 0.930 0.750 0.000
O2 0.070 0.250 0.000

Calculated values
The calculated density comes out at 5.6 Mg/m³. The value obtained for the density of states at the Fermi level is 0.422 states/eV per atom. Its total energy is -37.08 eV for the cell shown.

---

No. 14
Entry from Alexandria: a geometry-optimized Ba3SrMn structure (PBE-GGA).

a b c (Å): 6.133 6.133 6.133
angles (deg): 90.00 90.00 90.00
Sites, in units of the cell vectors:
Sr1 0.500 0.500 0.500
Mn1 0.000 0.000 0.000
Ba1 0.000 0.500 0.000
Ba2 0.000 0.000 0.500
Ba3 0.500 0.000 0.000

Calculated values
The calculated density comes out at 4.0 Mg/m³. For the relative energy among the computed polymorphs, the calculation gives 0.0 kJ/mol of atoms. The value obtained for the density of states at the Fermi level is 1.426 states/eV per atom. As for the formation energy: 56.4 kJ per mole of atoms.

---

No. 15
Entry from Alexandria: a geometry-optimized Mg6ZrNi structure (PBE-GGA).

a b c (Å): 6.473 6.473 4.849
angles (deg): 90.00 90.00 126.42
Sites, in units of the cell vectors:
Mg1 0.812 0.681 0.500
Mg2 0.319 0.188 0.500
Mg3 0.667 0.831 0.000
Mg4 0.169 0.333 0.000
Mg5 0.664 0.336 0.000
Mg6 0.201 0.799 0.000
Zr1 0.814 0.186 0.500
Ni1 0.354 0.646 0.500

Calculated values
The calculated density comes out at 3.0 Mg/m³. For the relative energy among the computed polymorphs, the calculation gives 2.6 kJ/mol of atoms. The value obtained for the density of states at the Fermi level is 0.693 states/eV per atom. As for the formation energy: 6.5 kJ per mole of atoms.

---

No. 16
Entry from Alexandria: a geometry-optimized POsCS structure (PBE-GGA).

a b c (Å): 3.731 3.887 3.931
angles (deg): 72.37 88.09 80.73
Sites, in units of the cell vectors:
P1 0.501 0.199 0.748
S1 0.930 0.609 0.111
Os1 0.377 0.824 0.391
C1 0.877 0.898 0.656

Calculated values
The calculated density comes out at 8.2 Mg/m³. For the relative energy among the computed polymorphs, the calculation gives 15.1 kJ/mol of atoms. The value obtained for the density of states at the Fermi level is 0.365 states/eV per atom.

---

No. 17
Entry from Alexandria: a geometry-optimized RbNCl3 structure (PBE-GGA).

a b c (Å): 6.182 6.182 6.182
angles (deg): 90.00 90.00 90.00
Sites, in units of the cell vectors:
N1 0.500 0.500 0.500
Rb1 0.000 0.000 0.000
Cl1 0.000 0.500 0.000
Cl2 0.000 0.000 0.500
Cl3 0.500 0.000 0.000

Calculated values
The calculated density comes out at 1.4 Mg/m³. For the relative energy among the computed polymorphs, the calculation gives 150.8 kJ/mol of atoms. The value obtained for the density of states at the Fermi level is 13.219 states/eV per atom.

---

No. 18
Entry from Alexandria: a geometry-optimized Tb2NdY6Ho structure (PBE-GGA).

a b c (Å): 9.760 8.771 8.771
angles (deg): 117.41 94.93 94.93
Sites, in units of the cell vectors:
Tb1 0.455 0.809 0.710
Tb2 0.045 0.290 0.191
Tb3 0.545 0.191 0.290
Tb4 0.955 0.710 0.809
Nd1 0.250 0.405 0.595
Nd2 0.750 0.595 0.405
Y1 0.056 0.120 0.749
Y2 0.444 0.251 0.880
Y3 0.944 0.880 0.251
Y4 0.556 0.749 0.120
Y5 0.317 0.976 0.424
Y6 0.183 0.576 0.024
Y7 0.683 0.024 0.576
Y8 0.817 0.424 0.976
Y9 0.120 0.706 0.498
Y10 0.380 0.502 0.294
Y11 0.880 0.294 0.502
Y12 0.620 0.498 0.706
Ho1 0.250 0.979 0.021
Ho2 0.750 0.021 0.979

Calculated values
The calculated density comes out at 5.9 Mg/m³. The value obtained for the density of states at the Fermi level is 1.574 states/eV per atom. As for the formation energy: 11.6 kJ per mole of atoms.

---

No. 19
Entry from Alexandria: a geometry-optimized LaSn2AsOs structure (PBE-GGA).

a b c (Å): 5.077 5.495 5.077
angles (deg): 90.00 90.00 90.00
Sites, in units of the cell vectors:
As1 0.500 0.500 0.500
Os1 0.000 0.000 0.000
Sn1 0.000 0.000 0.500
Sn2 0.500 0.000 0.000
La1 0.000 0.500 0.000

Calculated values
The calculated density comes out at 7.5 Mg/m³. The value obtained for the density of states at the Fermi level is 0.124 states/eV per atom. As for the formation energy: -16.6 kJ per mole of atoms.

---

No. 20
Entry from Alexandria: a geometry-optimized PmPaIrPt structure (PBE-GGA).

a b c (Å): 3.768 4.209 6.063
angles (deg): 90.00 108.11 90.00
Sites, in units of the cell vectors:
Pm1 0.146 0.000 0.291
Pa1 0.873 0.500 0.746
Ir1 0.399 0.000 0.799
Pt1 0.582 0.500 0.164

Calculated values
The calculated density comes out at 13.9 Mg/m³. For the relative energy among the computed polymorphs, the calculation gives 0.0 kJ/mol of atoms. The value obtained for the density of states at the Fermi level is 0.864 states/eV per atom. As for the formation energy: -94.3 kJ per mole of atoms.